{"formula": "PuCdPb2O8", "functional": "PBE", "state": "relaxed", "space_group": "Cmmm (65)", "volume_a3_per_cell": 180.9, "e_form_raw_mev_per_atom": -1410, "dos_ef_per_ev_atom": 0.33, "cell": [[5.1715, -0.0453, -0.0031], [-0.0179, 5.1658, -0.0059], [0.0042, 0.0075, 6.7718]], "species": ["Pu", "Cd", "Pb", "Pb", "O", "O", "O", "O", "O", "O", "O", "O"], "frac_coords": [[0.0000, 0.0000, 0.0000], [0.0000, 0.0000, 0.5000], [0.5000, 0.5000, 0.7481], [0.5000, 0.5000, 0.2519], [0.1872, 0.8116, 0.2138], [0.6979, 0.6992, 0.0000], [0.8128, 0.1884, 0.2138], [0.8128, 0.1884, 0.7862], [0.3021, 0.3008, 0.0000], [0.1872, 0.8116, 0.7862], [0.6917, 0.6926, 0.5000], [0.3083, 0.3074, 0.5000]]}

{"formula": "Rb2YAlV", "functional": "PBE", "state": "relaxed", "space_group": "P4/mmm (123)", "volume_a3_per_cell": 223.7, "dos_ef_per_ev_atom": 1.46, "formation_enthalpy_0k_ev_per_atom": 1.223, "cell": [[-4.9689, 2.0244, 3.7756], [-1.4481, -4.9362, 0.7409], [3.8746, -0.3436, 5.2833]], "species": ["Y", "Al", "Rb", "Rb", "V"], "frac_coords": [[0.5000, 0.5000, 0.5000], [0.0000, 0.0000, 0.0000], [0.0000, 0.0000, 0.5000], [0.5000, 0.0000, 0.0000], [0.0000, 0.5000, 0.0000]]}

{"formula": "V2Pd2Rh", "functional": "PBE", "state": "relaxed", "space_group": "P4/mbm (127)", "volume_a3_per_cell": 147.6, "e_above_lowest_polymorph_kj_per_mol_atoms": 35.5, "dos_ef_per_ev_atom": 1.06, "formation_enthalpy_0k_ev_per_atom": 0.053, "cell": [[-3.5056, 6.3046, -0.4856], [-5.6227, -3.3620, -3.0587], [-1.1295, -0.4316, 2.5507]], "species": ["Rh", "Rh", "Pd", "Pd", "Pd", "Pd", "V", "V", "V", "V"], "frac_coords": [[0.0000, 0.0000, 0.0000], [0.5000, 0.5000, 0.0000], [0.1804, 0.6804, 0.5000], [0.6804, 0.8196, 0.5000], [0.8196, 0.3196, 0.5000], [0.3196, 0.1804, 0.5000], [0.3850, 0.8850, 0.0000], [0.8850, 0.6150, 0.0000], [0.6150, 0.1150, 0.0000], [0.1150, 0.3850, 0.0000]]}

{"formula": "Np2Ga2Te7", "functional": "PBE", "state": "relaxed", "space_group": "C2/m (12)", "volume_a3_per_cell": 404.9, "e_form_raw_mev_per_atom": -259, "dos_ef_per_ev_atom": 1.86, "cell": [[-5.0104, -5.1399, -4.0476], [6.1213, -4.4048, 0.3903], [-3.9596, 0.6954, 6.3924]], "species": ["Np", "Np", "Ga", "Ga", "Te", "Te", "Te", "Te", "Te", "Te", "Te"], "frac_coords": [[0.0000, 0.3158, 0.6842], [0.0000, 0.6842, 0.3158], [0.4226, 0.3295, 0.3295], [0.5774, 0.6705, 0.6705], [0.7615, 0.9064, 0.5408], [0.2385, 0.4592, 0.0936], [0.2385, 0.0936, 0.4592], [0.7615, 0.5408, 0.9064], [0.5000, 0.0000, 0.0000], [0.2017, 0.6895, 0.6895], [0.7983, 0.3105, 0.3105]]}

| no. | raw total energy (eV per atom) | magnetic moment (μB per cell) |
| --- | --- | --- |
| 1 | -6.6041 | 1.89 |
| 2 | -3.0286 | 5.34 |
| 3 | -7.1415 | 0.00 |
| 4 | -5.1617 | 5.96 |